# MnAs2H (GGA-PBE, relaxed)
# - Mass density: 4977 kg/m3
# - DOS(E_F): 1.39 states/eV/f.u.
# - Polymorph energy (0 for the lowest one): 0 meV per atom
# - Total magnetic moment: 0.611 μB per atom
data_MnAs2H
_cell_length_a 3.5845
_cell_length_b 3.5845
_cell_length_c 18.5108
_cell_angle_alpha 90.00
_cell_angle_beta 90.00
_cell_angle_gamma 120.00
_space_group_name_H-M_alt 'R -3 m'
_space_group_IT_number 166
_space_group_name_Hall '-R 3 2"'
loop_
_atom_site_label
_atom_site_fract_x
_atom_site_fract_y
_atom_site_fract_z
Mn1 0.0000 0.0000 0.0000
As1 0.0000 0.0000 0.4039
H1 0.0000 0.0000 0.5000


# Mn3AsH (GGA-PBE, relaxed)
# - Mass density: 7866 kg/m3
# - DOS(E_F): 4.37 states/eV/f.u.
# - Polymorph energy (0 for the lowest one): 0 meV per atom
# - Total magnetic moment: 1.163 μB per atom
data_Mn3AsH
_cell_length_a 3.704
_cell_length_b 3.704
_cell_length_c 3.704
_cell_angle_alpha 90.00
_cell_angle_beta 90.00
_cell_angle_gamma 90.00
_space_group_name_H-M_alt 'P m -3 m'
_space_group_IT_number 221
_space_group_name_Hall '-P 4 2 3'
loop_
_atom_site_label
_atom_site_fract_x
_atom_site_fract_y
_atom_site_fract_z
Mn1 0.000 0.000 0.500
As1 0.500 0.500 0.500
H1 0.000 0.000 0.000